# 1
! Fe2TcHPt PBE-GGA optimized geometry; values from VASP
&SYSTEM
  ibrav = 0, nat = 5, ntyp = 4
/
ATOMIC_SPECIES
H 1.01 H.upf
Tc 98.00 Tc.upf
Pt 195.08 Pt.upf
Fe 55.84 Fe.upf
CELL_PARAMETERS angstrom
3.766 0.000 0.000
0.000 3.766 0.000
0.000 0.000 3.735
ATOMIC_POSITIONS angstrom
H 0.000 0.000 0.000
Tc 0.000 0.000 1.867
Pt 1.883 1.883 1.867
Fe 0.000 1.883 0.000
Fe 1.883 0.000 0.000
! * E: -7.2634 eV/atom
! * crystal system: tetragonal

# 2
! Ce2YOs2 PBE-GGA optimized geometry; values from VASP
&SYSTEM
  ibrav = 0, nat = 5, ntyp = 3
/
ATOMIC_SPECIES
Ce 140.12 Ce.upf
Y 88.91 Y.upf
Os 190.23 Os.upf
CELL_PARAMETERS angstrom
4.518 -0.241 0.394
-1.194 4.363 0.394
-0.553 -0.686 5.669
ATOMIC_POSITIONS angstrom
Ce -0.333 3.103 3.229
Ce 3.103 0.334 3.229
Y 0.000 0.000 0.000
Os 1.536 1.906 1.683
Os 1.234 1.531 4.775
! * formation energy: 0.233 eV/atom
! * crystal system: monoclinic

# 3
! LiHfZn3 PBE-GGA optimized geometry; values from VASP
&SYSTEM
  ibrav = 0, nat = 5, ntyp = 3
/
ATOMIC_SPECIES
Zn 65.41 Zn.upf
Hf 178.49 Hf.upf
Li 6.94 Li.upf
CELL_PARAMETERS angstrom
-0.973 -5.093 -0.958
4.154 -0.184 -3.242
3.098 -1.353 4.046
ATOMIC_POSITIONS angstrom
Zn 2.077 -0.092 -1.621
Zn 1.549 -0.676 2.023
Zn -0.486 -2.547 -0.479
Hf 0.000 0.000 0.000
Li 3.140 -3.315 -0.077
! * formation energy: 0.769 eV/atom
! * crystal system: cubic

# 4
! Ce2HoTm3Te6 PBE-GGA optimized geometry; values from VASP
&SYSTEM
  ibrav = 0, nat = 12, ntyp = 4
/
ATOMIC_SPECIES
Ce 140.12 Ce.upf
Ho 164.93 Ho.upf
Tm 168.93 Tm.upf
Te 127.60 Te.upf
CELL_PARAMETERS angstrom
4.318 0.000 0.000
0.000 8.849 0.208
-2.159 -2.662 9.205
ATOMIC_POSITIONS angstrom
Ce 2.159 4.108 6.252
Ce 0.000 2.079 3.161
Ho 2.159 0.000 0.000
Tm 2.159 4.425 0.104
Tm 2.159 -0.293 6.124
Tm 0.000 6.480 3.290
Te 0.000 6.428 6.342
Te 2.159 4.378 3.113
Te 2.159 -0.241 3.071
Te 2.159 -0.430 9.179
Te 0.000 6.616 0.234
Te 0.000 1.809 6.300
! * energy relative to the elements, uncorrected: -1.26 eV per atom
! * crystal system: monoclinic

# 5
! LaYZr2 PBE-GGA optimized geometry; values from VASP
&SYSTEM
  ibrav = 0, nat = 4, ntyp = 3
/
ATOMIC_SPECIES
La 138.91 La.upf
Y 88.91 Y.upf
Zr 91.22 Zr.upf
CELL_PARAMETERS angstrom
11.201 -0.006 -0.004
10.687 3.353 -0.004
10.687 1.634 2.928
ATOMIC_POSITIONS angstrom
La 8.144 1.245 0.730
Y 24.432 3.735 2.190
Zr 0.008 0.001 0.001
Zr 16.280 2.489 1.460
! * formation energy: 0.185 eV/atom
! * crystal system: trigonal

# 6
! CaAlI2O PBE-GGA optimized geometry; values from VASP
&SYSTEM
  ibrav = 0, nat = 5, ntyp = 4
/
ATOMIC_SPECIES
I 126.90 I.upf
Ca 40.08 Ca.upf
Al 26.98 Al.upf
O 16.00 O.upf
CELL_PARAMETERS angstrom
5.965 0.000 0.000
0.000 5.965 0.000
0.000 0.000 3.599
ATOMIC_POSITIONS angstrom
I 0.000 2.983 0.000
I 2.983 0.000 0.000
Ca 2.983 2.983 1.800
Al 0.000 0.000 0.000
O 0.000 0.000 1.800
! * energy relative to the elements, uncorrected: -1.19 eV per atom
! * crystal system: tetragonal

# 7
! Ac3DyAl8 PBE-GGA optimized geometry; values from VASP
&SYSTEM
  ibrav = 0, nat = 12, ntyp = 3
/
ATOMIC_SPECIES
Ac 227.00 Ac.upf
Dy 162.50 Dy.upf
Al 26.98 Al.upf
CELL_PARAMETERS angstrom
-3.213 -4.479 -1.894
1.299 -2.584 -5.060
5.119 -8.416 2.255
ATOMIC_POSITIONS angstrom
Ac 3.764 -10.017 -0.632
Ac -1.912 -7.065 -6.952
Ac 1.599 -7.737 -2.351
Dy 0.249 -9.341 -5.235
Al -1.444 -6.943 -3.538
Al 3.285 -10.133 -4.052
Al 0.158 -4.710 -2.594
Al 1.687 -12.360 -4.994
Al 1.869 -4.995 -0.326
Al 3.497 -12.761 -2.655
Al 0.805 -5.998 -5.117
Al 1.041 -11.075 -2.477
! * formation energy: -0.375 eV/atom
! * crystal system: trigonal

# 8
! SrCd2AgPd2 PBE-GGA optimized geometry; values from VASP
&SYSTEM
  ibrav = 0, nat = 6, ntyp = 4
/
ATOMIC_SPECIES
Sr 87.62 Sr.upf
Cd 112.41 Cd.upf
Ag 107.87 Ag.upf
Pd 106.42 Pd.upf
CELL_PARAMETERS angstrom
5.317 0.000 0.000
0.000 5.317 0.000
-2.658 -2.658 5.667
ATOMIC_POSITIONS angstrom
Sr 2.658 2.658 0.000
Cd 0.000 2.658 2.833
Cd 2.658 0.000 2.833
Ag 0.000 0.000 0.000
Pd 2.658 2.658 3.025
Pd 0.000 0.000 2.642
! * formation energy: -0.167 eV/atom
! * crystal system: tetragonal